*a*
The following is a DFT calculation (PBE) of an optimized crystal structure of Cs2NbTlF6.

Cell: 7.057 7.057 11.504 Å, 72.14 72.14 60.00°
Fractional coordinates of all 20 atoms:
F 0.161 0.620 0.599
F 0.620 0.161 0.599
F 0.380 0.839 0.401
F 0.776 0.173 0.878
F 0.224 0.827 0.122
F 0.173 0.173 0.878
F 0.827 0.224 0.122
F 0.380 0.380 0.401
F 0.620 0.620 0.599
F 0.839 0.380 0.401
F 0.173 0.776 0.878
F 0.827 0.827 0.122
Nb 0.500 0.500 0.500
Nb 0.000 0.000 0.000
Tl 0.399 0.399 0.802
Tl 0.601 0.601 0.198
Cs 0.130 0.130 0.609
Cs 0.265 0.265 0.204
Cs 0.735 0.735 0.796
Cs 0.870 0.870 0.391

Fermi-level density of states = 15.5 states/eV/cell
M_tot = 2.0 μB per formula unit



*b*
The following is a DFT calculation (PBE) of an optimized crystal structure of Cs2NbTlF6.

Cell: 6.806 6.806 6.806 Å, 60.00 60.00 90.00°
Fractional coordinates of all 10 atoms:
F 0.280 0.280 0.439
F 0.720 0.720 0.000
F 0.720 0.280 0.000
F 0.280 0.720 0.000
F 0.720 0.720 0.561
F 0.280 0.280 0.000
Cs 0.750 0.250 0.500
Cs 0.250 0.750 0.500
Tl 0.000 0.000 0.000
Nb 0.500 0.500 0.000

Fermi-level density of states = 47.8 states/eV/cell
M_tot = 2.0 μB per formula unit



Which of them is most stable, and which least? Most stable: *b*; least stable: *a*.